No. 1
A relaxed NaLi2UCl6 crystal, computed with PBE-GGA.

Cell: 7.3100 7.3100 7.3100 Å, 55.39 55.39 55.39°
Fractional coordinates of all 10 atoms:
Na 0.0000 0.0000 0.0000
Li 0.2914 0.2914 0.2914
Li 0.7965 0.7965 0.7965
U 0.4938 0.4938 0.4938
Cl 0.0717 0.6802 0.4335
Cl 0.1916 0.5696 0.9202
Cl 0.4335 0.0717 0.6802
Cl 0.5696 0.9202 0.1916
Cl 0.6802 0.4335 0.0717
Cl 0.9202 0.1916 0.5696

## Properties
E_tot ... -4.48 eV per atom
SG ... R3

---

No. 2
A relaxed Li2Ce2F7 crystal, computed with PBE-GGA.

Cell: 7.4608 7.4608 7.4608 Å, 151.53 67.36 120.39°
Fractional coordinates of all 11 atoms:
Li 0.2302 0.0000 0.2302
Li 0.7698 0.0000 0.7698
Ce 0.0006 0.5006 0.5000
Ce 0.5563 0.5563 0.0000
F 0.2165 0.2165 0.0000
F 0.2606 0.5725 0.6881
F 0.3669 0.9855 0.3814
F 0.6041 0.9855 0.6186
F 0.7369 0.8404 0.8965
F 0.8844 0.5725 0.3119
F 0.9440 0.8404 0.1035

## Properties
Density of states at the Fermi level ... 11.08 states/eV per cell
E_tot ... -6.02 eV per atom
SG ... Imm2

---

No. 3
A relaxed KAlP4 crystal, computed with PBE-GGA.

Cell: 9.7228 3.5291 16.1755 Å, 90.00 90.00 90.00°
Fractional coordinates of all 24 atoms:
K 0.1811 0.2500 0.0700
K 0.3189 0.7500 0.5700
K 0.6811 0.2500 0.4300
K 0.8189 0.7500 0.9300
Al 0.1538 0.7500 0.3599
Al 0.3462 0.2500 0.8599
Al 0.6538 0.7500 0.1401
Al 0.8462 0.2500 0.6401
P 0.0320 0.2500 0.5410
P 0.0547 0.7500 0.2239
P 0.0950 0.7500 0.7606
P 0.1919 0.7500 0.8851
P 0.3081 0.2500 0.3851
P 0.4050 0.2500 0.2606
P 0.4453 0.2500 0.7239
P 0.4680 0.7500 0.0410
P 0.5320 0.2500 0.9590
P 0.5547 0.7500 0.2761
P 0.5950 0.7500 0.7394
P 0.6919 0.7500 0.6149
P 0.8081 0.2500 0.1149
P 0.9050 0.2500 0.2394
P 0.9453 0.2500 0.7761
P 0.9680 0.7500 0.4590

## Properties
Formation energy ... -0.34 eV/atom
SG ... Pnma

---

No. 4
A relaxed CeSm5P6 crystal, computed with PBE-GGA.

Cell: 7.1004 7.1004 7.1026 Å, 99.59 99.59 120.00°
Fractional coordinates of all 12 atoms:
Ce 0.0000 0.0000 0.0000
Sm 0.1673 0.8327 0.5000
Sm 0.3335 0.6665 0.0000
Sm 0.5000 0.5000 0.5000
Sm 0.6665 0.3335 0.0000
Sm 0.8327 0.1673 0.5000
P 0.0826 0.4119 0.2481
P 0.2466 0.2466 0.7527
P 0.4119 0.0826 0.2481
P 0.5881 0.9174 0.7519
P 0.7534 0.7534 0.2473
P 0.9174 0.5881 0.7519

## Properties
Density of states at the Fermi level ... 4.80 states/eV per cell
Formation energy ... -1.57 eV/atom
SG ... C2/m

---

No. 5
A relaxed KDy4YSe8 crystal, computed with PBE-GGA.

Cell: 8.5899 8.5899 8.5899 Å, 59.91 59.91 59.91°
Fractional coordinates of all 14 atoms:
K 0.0000 0.0000 0.0000
Dy 0.1113 0.6304 0.6304
Dy 0.2508 0.2508 0.2508
Dy 0.6304 0.1113 0.6304
Dy 0.6304 0.6304 0.1113
Y 0.6306 0.6306 0.6306
Se 0.3832 0.3832 0.3832
Se 0.3832 0.3832 0.8531
Se 0.3832 0.8531 0.3832
Se 0.4215 0.8608 0.8608
Se 0.8531 0.3832 0.3832
Se 0.8600 0.8600 0.8600
Se 0.8608 0.4215 0.8608
Se 0.8608 0.8608 0.4215

## Properties
Density of states at the Fermi level ... 0.00 states/eV per cell
E_tot ... -5.60 eV per atom
SG ... R3m

---

No. 6
A relaxed Th5Os2Pt2 crystal, computed with PBE-GGA.

Cell: 8.4440 8.4440 7.7552 Å, 90.00 90.00 54.74°
Fractional coordinates of all 18 atoms:
Th 0.0000 0.0000 0.0000
Th 0.0385 0.6960 0.6655
Th 0.1960 0.5385 0.1655
Th 0.3040 0.9615 0.6655
Th 0.4615 0.8040 0.1655
Th 0.5000 0.5000 0.5000
Th 0.5385 0.1960 0.8345
Th 0.6960 0.0385 0.3345
Th 0.8040 0.4615 0.8345
Th 0.9615 0.3040 0.3345
Os 0.1360 0.8640 0.3655
Os 0.3640 0.6360 0.8655
Os 0.6360 0.3640 0.1345
Os 0.8640 0.1360 0.6345
Pt 0.2088 0.2088 0.0000
Pt 0.2912 0.2912 0.5000
Pt 0.7088 0.7088 0.5000
Pt 0.7912 0.7912 0.0000

## Properties
Density of states at the Fermi level ... 16.09 states/eV per cell
Formation energy ... -0.71 eV/atom
SG ... Cmce

---

No. 7
A relaxed SmInP2O8 crystal, computed with PBE-GGA.

Cell: 5.1959 5.1959 6.9682 Å, 90.00 90.00 120.00°
Fractional coordinates of all 12 atoms:
Sm 0.0000 0.0000 0.0000
In 0.0000 0.0000 0.5000
P 0.3333 0.6667 0.2126
P 0.6667 0.3333 0.7874
O 0.1699 0.3397 0.2834
O 0.1699 0.8301 0.2834
O 0.3333 0.6667 0.9931
O 0.3397 0.1699 0.7166
O 0.6603 0.8301 0.2834
O 0.6667 0.3333 0.0069
O 0.8301 0.1699 0.7166
O 0.8301 0.6603 0.7166

## Properties
Density of states at the Fermi level ... 0.00 states/eV per cell
E_tot ... -7.24 eV per atom
SG ... P-3m1

---

No. 8
A relaxed AcPr2Ni6 crystal, computed with PBE-GGA.

Cell: 7.0510 7.0510 4.0921 Å, 90.00 90.00 120.00°
Fractional coordinates of all 9 atoms:
Ac 0.0000 0.0000 0.0000
Pr 0.3333 0.6667 0.0000
Pr 0.6667 0.3333 0.0000
Ni 0.0000 0.3354 0.5000
Ni 0.0000 0.6646 0.5000
Ni 0.3354 0.0000 0.5000
Ni 0.3354 0.3354 0.5000
Ni 0.6646 0.0000 0.5000
Ni 0.6646 0.6646 0.5000

## Properties
Density of states at the Fermi level ... 10.73 states/eV per cell
Formation energy ... -0.28 eV/atom
SG ... P6/mmm